This record from Alexandria describes a relaxed Sm6Sb2TeP3 crystal. The functional is GGA-PBE.

As for the formation energy without anion corrections: -1432 meV/atom.

The space group is C2/m (No. 12) and the conventional cell measures 18.753, 4.248 and 8.639 Å, with angles of 90.00, 104.49 and 90.00 degrees. The asymmetric unit holds Sm at (0.006, 0.000, 0.231), Sm at (0.162, 0.500, 0.096), Sm at (0.174, 0.500, 0.570), Sb at (0.166, 0.000, 0.832), Te at (0.000, 0.500, 0.500), P at (0.000, 0.500, 0.000) and P at (0.166, 0.000, 0.334).

***

This record from Alexandria describes a relaxed Sm6SbTe3P2 crystal. The functional is GGA-PBE.

As for the formation energy without anion corrections: -1483 meV/atom.

The space group is C2/m (No. 12) and the conventional cell measures 19.094, 4.285 and 8.792 Å, with angles of 90.00, 104.79 and 90.00 degrees. The asymmetric unit holds Sm at (0.015, 0.000, 0.255), Sm at (0.170, 0.500, 0.117), Sm at (0.177, 0.500, 0.565), Sb at (0.000, 0.500, 0.000), Te at (0.000, 0.500, 0.500), Te at (0.162, 0.000, 0.833) and P at (0.169, 0.000, 0.337).

***

This record from Alexandria describes a relaxed Sm6Sb2Te3P crystal. The functional is GGA-PBE.

As for the formation energy without anion corrections: -1400 meV/atom.

The space group is C2/m (No. 12) and the conventional cell measures 19.328, 4.364 and 8.879 Å, with angles of 90.00, 103.94 and 90.00 degrees. The asymmetric unit holds Sm at (0.000, 0.000, 0.218), Sm at (0.151, 0.500, 0.080), Sm at (0.167, 0.500, 0.578), Sb at (0.166, 0.000, 0.332), Te at (0.000, 0.500, 0.500), Te at (0.171, 0.000, 0.837) and P at (0.000, 0.500, 0.000).

***

This record from Alexandria describes a relaxed SmYSbP crystal. The functional is GGA-PBE.

As for the formation energy without anion corrections: -1262 meV/atom.

The space group is R3m (No. 160, hexagonal axes) and the conventional cell measures 4.1686, 4.1686 and 21.7772 Å, with angles of 90.00, 90.00 and 120.00 degrees. The asymmetric unit holds Sm at (0.0000, 0.0000, 0.0000), Y at (0.0000, 0.0000, 0.1862), Sb at (0.0000, 0.0000, 0.7622) and P at (0.0000, 0.0000, 0.5900).

***

This record from Alexandria describes a relaxed Sn3SbP crystal. The functional is GGA-PBE.

For the energy above the most stable polymorph in this dataset, the calculation gives 89 meV per atom. As for the formation energy without anion corrections: 354 meV/atom.

The space group is Pm-3m (No. 221) and the conventional cell measures 5.274, 5.274 and 5.274 Å, with angles of 90.00, 90.00 and 90.00 degrees. The asymmetric unit holds Sn at (0.000, 0.000, 0.500), Sb at (0.500, 0.500, 0.500) and P at (0.000, 0.000, 0.000).

***

This record from Alexandria describes a relaxed Sn3SbP crystal. The functional is GGA-PBE.

For the energy above the most stable polymorph in this dataset, the calculation gives 0 meV per atom. As for the formation energy without anion corrections: 265 meV/atom.

The space group is Amm2 (No. 38) and the conventional cell measures 3.501, 8.103 and 13.362 Å, with angles of 90.00, 90.00 and 90.00 degrees. The asymmetric unit holds Sn at (0.000, 0.000, 0.000), Sn at (0.500, 0.197, 0.174), Sb at (0.500, 0.000, 0.810) and P at (0.000, 0.000, 0.271).

***

This record from Alexandria describes a relaxed Sn3SbP crystal. The functional is GGA-PBE.

For the energy above the most stable polymorph in this dataset, the calculation gives 751 meV per atom. As for the formation energy without anion corrections: 1015 meV/atom.

The space group is Pm-3m (No. 221) and the conventional cell measures 5.689, 5.689 and 5.689 Å, with angles of 90.00, 90.00 and 90.00 degrees. The asymmetric unit holds Sn at (0.000, 0.000, 0.500), Sb at (0.000, 0.000, 0.000) and P at (0.500, 0.500, 0.500).

***

This record from Alexandria describes a relaxed SnSbP3 crystal. The functional is GGA-PBE.

For the energy above the most stable polymorph in this dataset, the calculation gives 0 meV per atom. As for the formation energy without anion corrections: 967 meV/atom.

The space group is Pm-3m (No. 221) and the conventional cell measures 5.039, 5.039 and 5.039 Å, with angles of 90.00, 90.00 and 90.00 degrees. The asymmetric unit holds Sn at (0.000, 0.000, 0.000), Sb at (0.500, 0.500, 0.500) and P at (0.000, 0.500, 0.500).